(1)
NbCoIrPb | PBE | relaxed

```
NbCoIrPb
1.0
-0.7897 -2.9358 -3.4022
-3.8874 0.2527 -2.3751
0.0595 1.4510 -4.3253
Pb Ir Nb Co
1 1 1 1
direct
0.0000 0.0000 0.0000
0.2500 0.2500 0.2500
0.5000 0.5000 0.5000
0.7500 0.7500 0.7500
```

Energy relative to the lowest polymorph listed for this composition   0 meV per atom
Calculated density   13630 kg/m3



(2)
NbCoSiIr | PBE | relaxed

```
NbCoSiIr
1.0
0.0000 3.0515 3.0515
3.0515 0.0000 3.0515
3.0515 3.0515 0.0000
Co Ir Si Nb
1 1 1 1
direct
0.7500 0.7500 0.7500
0.5000 0.5000 0.5000
0.0000 0.0000 0.0000
0.2500 0.2500 0.2500
```

Energy relative to the lowest polymorph listed for this composition   159 meV per atom
Calculated density   10874 kg/m3